1.
{
  "formula": "LiPaCdCl6",
  "functional": "PBE-GGA",
  "state": "relaxed",
  "total_magnetization_mub_per_fu": 0.077,
  "dos_at_fermi_per_ev_fu": 4.4,
  "e_form_raw_ev_per_fu": -14.2,
  "cell": [[-5.058, 4.180, 1.303], [3.363, -2.852, 5.030], [11.239, 13.548, 0.167]],
  "species": ["Cl", "Cl", "Cl", "Cl", "Cl", "Cl", "Cl", "Cl", "Cl", "Cl", "Cl", "Cl", "Pa", "Pa", "Cd", "Cd", "Li", "Li"],
  "frac_coords": [[0.642, 0.636, 0.167], [0.994, 0.636, 0.333], [0.006, 0.642, 0.833], [0.358, 0.994, 0.667], [0.636, 0.994, 0.833], [0.358, 0.364, 0.833], [0.994, 0.358, 0.167], [0.006, 0.364, 0.667], [0.364, 0.006, 0.167], [0.636, 0.642, 0.667], [0.642, 0.006, 0.333], [0.364, 0.358, 0.333], [0.333, 0.667, 0.750], [0.667, 0.333, 0.250], [0.000, 0.000, 0.500], [0.000, 0.000, 0.000], [0.333, 0.667, 0.250], [0.667, 0.333, 0.750]]
}

---

2.
{
  "formula": "TeRhPb2",
  "functional": "PBE-GGA",
  "state": "relaxed",
  "total_magnetization_mub_per_fu": 0.000,
  "dos_at_fermi_per_ev_fu": 2.7,
  "e_form_raw_ev_per_fu": 0.9,
  "cell": [[-2.408, 2.408, 4.302], [2.408, -2.408, 4.302], [2.408, 2.408, -4.302]],
  "species": ["Te", "Pb", "Pb", "Rh"],
  "frac_coords": [[0.750, 0.250, 0.500], [0.000, 0.000, 0.000], [0.250, 0.750, 0.500], [0.500, 0.500, 0.000]]
}

---

3.
{
  "formula": "NaAlAsH",
  "functional": "PBE-GGA",
  "state": "relaxed",
  "total_magnetization_mub_per_fu": 0.000,
  "dos_at_fermi_per_ev_fu": 0.0,
  "final_energy_ev_per_atom": -3.699,
  "cell": [[-0.397, 1.880, -3.518], [-3.155, -0.362, 2.446], [2.610, 9.472, 4.766]],
  "species": ["Al", "Al", "H", "H", "Na", "Na", "As", "As"],
  "frac_coords": [[0.000, 0.000, 0.654], [0.000, 0.000, 0.154], [0.000, 0.000, 0.501], [0.000, 0.000, 0.001], [0.667, 0.333, 0.425], [0.333, 0.667, 0.925], [0.333, 0.667, 0.233], [0.667, 0.333, 0.733]]
}

---

4.
{
  "formula": "Ho4TlPd15",
  "functional": "PBE-GGA",
  "state": "relaxed",
  "total_magnetization_mub_per_fu": 0.000,
  "dos_at_fermi_per_ev_fu": 15.5,
  "ef_ev_per_atom": -0.757,
  "cell": [[-3.834, 0.330, -1.436], [-0.535, -4.042, 0.500], [-6.864, 3.267, 19.079]],
  "species": ["Ho", "Ho", "Ho", "Ho", "Pd", "Pd", "Pd", "Pd", "Pd", "Pd", "Pd", "Pd", "Pd", "Pd", "Pd", "Pd", "Pd", "Pd", "Pd", "Tl"],
  "frac_coords": [[0.000, 0.000, 0.199], [0.000, 0.000, 0.801], [0.000, 0.000, 0.400], [0.000, 0.000, 0.600], [0.000, 0.500, 0.700], [0.500, 0.000, 0.099], [0.500, 0.000, 0.901], [0.500, 0.500, 0.399], [0.000, 0.500, 0.099], [0.000, 0.500, 0.500], [0.500, 0.000, 0.500], [0.500, 0.500, 0.000], [0.000, 0.500, 0.901], [0.500, 0.000, 0.300], [0.500, 0.000, 0.700], [0.000, 0.500, 0.300], [0.500, 0.500, 0.801], [0.500, 0.500, 0.199], [0.500, 0.500, 0.601], [0.000, 0.000, 0.000]]
}

---

5.
{
  "formula": "La2MgInCu6",
  "functional": "PBE-GGA",
  "state": "relaxed",
  "total_magnetization_mub_per_fu": 0.000,
  "dos_at_fermi_per_ev_fu": 6.4,
  "ef_ev_per_atom": -0.091,
  "cell": [[6.626, -0.546, 1.335], [-0.303, 6.666, -1.233], [4.060, 2.038, 5.031]],
  "species": ["Cu", "Cu", "Cu", "Cu", "Cu", "Cu", "La", "La", "In", "Mg"],
  "frac_coords": [[0.232, 0.729, 0.003], [0.732, 0.728, 0.504], [0.768, 0.271, 0.997], [0.268, 0.272, 0.496], [0.251, 0.436, 0.817], [0.749, 0.564, 0.183], [0.253, 0.800, 0.453], [0.747, 0.200, 0.547], [0.000, 0.000, 0.000], [0.500, 0.500, 0.000]]
}

---

6.
{
  "formula": "Ac2LaIn",
  "functional": "PBE-GGA",
  "state": "relaxed",
  "total_magnetization_mub_per_fu": 0.000,
  "dos_at_fermi_per_ev_fu": 5.3,
  "ef_ev_per_atom": -0.188,
  "cell": [[-3.279, 0.390, -4.527], [-3.215, 0.023, 2.331], [-4.184, 13.723, 4.213]],
  "species": ["Ac", "Ac", "Ac", "Ac", "In", "In", "La", "La"],
  "frac_coords": [[0.750, 0.862, 0.425], [0.250, 0.138, 0.575], [0.250, 0.563, 0.291], [0.750, 0.437, 0.709], [0.750, 0.625, 0.917], [0.250, 0.375, 0.083], [0.750, 0.823, 0.118], [0.250, 0.177, 0.882]]
}

---

7.
{
  "formula": "CuAgAsBr2",
  "functional": "PBE-GGA",
  "state": "relaxed",
  "total_magnetization_mub_per_fu": 1.143,
  "dos_at_fermi_per_ev_fu": 4.4,
  "e_form_raw_ev_per_fu": 1.9,
  "cell": [[-1.189, 3.525, 3.665], [-4.719, -2.167, 0.553], [1.687, -2.838, 3.277]],
  "species": ["Cu", "Br", "Br", "As", "Ag"],
  "frac_coords": [[0.000, 0.000, 0.000], [0.500, 0.000, 0.000], [0.000, 0.500, 0.000], [0.000, 0.000, 0.500], [0.500, 0.500, 0.500]]
}

---

8.
{
  "formula": "Li6TbSn4",
  "functional": "PBE-GGA",
  "state": "relaxed",
  "total_magnetization_mub_per_fu": 0.000,
  "dos_at_fermi_per_ev_fu": 4.8,
  "ef_ev_per_atom": -0.318,
  "cell": [[4.517, 0.000, 0.000], [0.000, 7.603, 0.000], [0.000, -3.802, 6.584]],
  "species": ["Li", "Li", "Li", "Li", "Li", "Li", "Sn", "Sn", "Sn", "Sn", "Tb"],
  "frac_coords": [[0.000, 0.927, 0.463], [0.500, 0.214, 0.786], [0.000, 0.537, 0.463], [0.000, 0.537, 0.073], [0.500, 0.571, 0.786], [0.500, 0.214, 0.429], [0.500, 0.805, 0.195], [0.500, 0.805, 0.610], [0.000, 0.333, 0.667], [0.500, 0.390, 0.195], [0.000, 0.000, 0.000]]
}

---

Please write out number 2 again, unchanged.
{
  "formula": "TeRhPb2",
  "functional": "PBE-GGA",
  "state": "relaxed",
  "total_magnetization_mub_per_fu": 0.000,
  "dos_at_fermi_per_ev_fu": 2.7,
  "e_form_raw_ev_per_fu": 0.9,
  "cell": [[-2.408, 2.408, 4.302], [2.408, -2.408, 4.302], [2.408, 2.408, -4.302]],
  "species": ["Te", "Pb", "Pb", "Rh"],
  "frac_coords": [[0.750, 0.250, 0.500], [0.000, 0.000, 0.000], [0.250, 0.750, 0.500], [0.500, 0.500, 0.000]]
}